1.
Sm4C2O: relaxed, PBE.

CIF file:
```
data_Sm4C2O
_chemical_formula_sum 'Sm12 C6 O3'
_space_group_name_H-M_alt 'R -3 m'
_space_group_IT_number 166
_space_group_name_Hall '-R 3 2"'
_cell_length_a 3.6502
_cell_length_b 3.6502
_cell_length_c 37.4077
_cell_angle_alpha 90.00
_cell_angle_beta 90.00
_cell_angle_gamma 120.00
loop_
_atom_site_label
_atom_site_fract_x
_atom_site_fract_y
_atom_site_fract_z
Sm1 0.0000 0.0000 0.1143
Sm2 0.0000 0.0000 0.2945
C1 0.0000 0.0000 0.4133
O1 0.0000 0.0000 0.0000
```

Output
Total moment ... 0.0 μB/cell
Energy relative to the elements, uncorrected ... -980 meV per atom

***

2.
Sm8C3O4: relaxed, PBE.

CIF file:
```
data_Sm8C3O4
_chemical_formula_sum 'Sm24 C9 O12'
_space_group_name_H-M_alt 'R -3 m'
_space_group_IT_number 166
_space_group_name_Hall '-R 3 2"'
_cell_length_a 7.1972
_cell_length_b 7.1972
_cell_length_c 18.9195
_cell_angle_alpha 90.00
_cell_angle_beta 90.00
_cell_angle_gamma 120.00
loop_
_atom_site_label
_atom_site_fract_x
_atom_site_fract_y
_atom_site_fract_z
Sm1 0.0000 0.0000 0.2400
Sm2 0.0008 0.5004 0.7564
C1 0.0000 0.5000 0.5000
O1 0.0000 0.0000 0.0000
O2 0.0000 0.0000 0.3592
O3 0.0000 0.0000 0.5000
```

Output
Total moment ... 0.0 μB/cell
Energy relative to the elements, uncorrected ... -1525 meV per atom

***

3.
Sm2CO: relaxed, PBE.

CIF file:
```
data_Sm2CO
_chemical_formula_sum 'Sm4 C2 O2'
_space_group_name_H-M_alt 'P m m n'
_space_group_IT_number 59
_cell_length_a 3.654
_cell_length_b 5.079
_cell_length_c 7.274
_cell_angle_alpha 90.00
_cell_angle_beta 90.00
_cell_angle_gamma 90.00
loop_
_space_group_symop_operation_xyz
'x,y,z'
'-x,-y,-z'
'-x+1/2,-y+1/2,z'
'x+1/2,y+1/2,-z'
'x+1/2,-y,-z'
'-x+1/2,y,z'
'-x,y+1/2,-z'
'x,-y+1/2,z'
loop_
_atom_site_label
_atom_site_fract_x
_atom_site_fract_y
_atom_site_fract_z
Sm1 0.250 0.250 0.122
Sm2 0.250 0.250 0.629
C1 0.250 0.750 0.138
O1 0.250 0.750 0.622
```

Output
Energy above the lowest structure with this stoichiometry ... 9 meV per atom
Total moment ... 0.0 μB/cell
Energy relative to the elements, uncorrected ... -1554 meV per atom

***

4.
Sm2C2O: relaxed, PBE.

CIF file:
```
data_Sm2C2O
_chemical_formula_sum 'Sm8 C8 O4'
_space_group_name_H-M_alt 'C 1 2/c 1'
_space_group_IT_number 15
_space_group_name_Hall '-C 2yc'
_cell_length_a 13.205
_cell_length_b 4.239
_cell_length_c 6.529
_cell_angle_alpha 90.00
_cell_angle_beta 109.60
_cell_angle_gamma 90.00
loop_
_atom_site_label
_atom_site_fract_x
_atom_site_fract_y
_atom_site_fract_z
Sm1 0.131 0.159 0.091
C1 0.224 0.374 0.521
O1 0.000 0.019 0.750
```

Output
Total moment ... 0.0 μB/cell
Energy relative to the elements, uncorrected ... -1212 meV per atom

***

Question: The highest energy relative to the elements, uncorrected belongs to which entry?
Answer: Sm4C2O